Crystalline Ce6PaN8 at its relaxed geometry. Source: Alexandria, functional PBE. Values from VASP.

```
&SYSTEM
  ibrav = 0, nat = 15, ntyp = 3
/
ATOMIC_SPECIES
N 14.01 N.upf
Pa 231.04 Pa.upf
Ce 140.12 Ce.upf
ATOMIC_POSITIONS crystal
N 0.227 0.227 0.773
N 0.773 0.227 0.227
N 0.750 0.750 0.750
Pa 0.000 0.000 0.000
Ce 0.000 0.500 0.500
N 0.250 0.250 0.250
Ce 0.500 0.000 0.000
Ce 0.000 0.500 0.000
N 0.227 0.773 0.227
N 0.227 0.773 0.773
N 0.773 0.227 0.773
Ce 0.000 0.000 0.500
Ce 0.500 0.000 0.500
N 0.773 0.773 0.227
Ce 0.500 0.500 0.000
CELL_PARAMETERS angstrom
6.180 0.000 3.568
2.060 5.826 3.568
0.000 0.000 7.136
```

Computed properties:
N(E_F): 1.23 states/eV per atom
formation energy (no corrections): -20.804 eV per formula unit

---

Crystalline CaAlHg2 at its relaxed geometry. Source: Alexandria, functional PBE. Values from VASP.

```
&SYSTEM
  ibrav = 0, nat = 4, ntyp = 3
/
ATOMIC_SPECIES
Hg 200.59 Hg.upf
Al 26.98 Al.upf
Ca 40.08 Ca.upf
ATOMIC_POSITIONS crystal
Hg 0.006 0.006 0.994
Hg 0.768 0.768 0.732
Al 0.485 0.485 0.515
Ca 0.241 0.241 0.259
CELL_PARAMETERS angstrom
-3.691 3.548 2.881
-5.775 0.603 0.894
-1.486 -1.756 4.161
```

Computed properties:
N(E_F): 0.48 states/eV per atom
ΔH_f (0 K): -0.19 eV per atom

---

Crystalline GaBi3Pb at its relaxed geometry. Source: Alexandria, functional PBE. Values from VASP.

```
&SYSTEM
  ibrav = 0, nat = 5, ntyp = 3
/
ATOMIC_SPECIES
Bi 208.98 Bi.upf
Pb 207.20 Pb.upf
Ga 69.72 Ga.upf
ATOMIC_POSITIONS crystal
Bi 0.000 0.000 0.500
Pb 0.500 0.500 0.500
Bi 0.000 0.500 0.000
Bi 0.500 0.000 0.000
Ga 0.000 0.000 0.000
CELL_PARAMETERS angstrom
-3.250 4.060 -1.880
-0.940 -2.891 -4.619
-4.374 -2.395 2.389
```

Computed properties:
N(E_F): 0.81 states/eV per atom
ΔH_f (0 K): 0.40 eV per atom

---

Crystalline Pm3Dy3Co4 at its relaxed geometry. Source: Alexandria, functional PBE. Values from VASP.

```
&SYSTEM
  ibrav = 0, nat = 10, ntyp = 3
/
ATOMIC_SPECIES
Dy 162.50 Dy.upf
Co 58.93 Co.upf
Pm 145.00 Pm.upf
ATOMIC_POSITIONS crystal
Dy 0.000 0.498 0.000
Dy 0.000 0.000 0.502
Co 0.000 0.602 0.398
Pm 0.500 0.674 0.675
Co 0.000 0.117 0.101
Pm 0.500 0.325 0.326
Dy 0.500 0.176 0.824
Co 0.000 0.899 0.883
Co 0.000 0.381 0.619
Pm 0.500 0.829 0.171
CELL_PARAMETERS angstrom
4.254 0.000 0.000
0.000 7.267 -0.014
0.000 0.050 7.267
```

Computed properties:
N(E_F): 0.66 states/eV per atom
ΔH_f (0 K): -0.09 eV per atom

---

Crystalline Ce2CuF11 at its relaxed geometry. Source: Alexandria, functional PBE. Values from VASP.

```
&SYSTEM
  ibrav = 0, nat = 28, ntyp = 3
/
ATOMIC_SPECIES
F 19.00 F.upf
Ce 140.12 Ce.upf
Cu 63.55 Cu.upf
ATOMIC_POSITIONS crystal
F 0.341 0.291 0.019
F 0.150 0.209 0.481
F 0.401 0.009 0.200
F 0.317 0.665 0.978
F 0.001 0.047 0.301
Ce 0.064 0.807 0.208
F 0.310 0.702 0.294
F 0.806 0.798 0.206
F 0.850 0.791 0.519
F 0.541 0.165 0.478
F 0.690 0.298 0.706
F 0.659 0.709 0.981
F 0.000 0.000 0.000
Ce 0.936 0.193 0.792
F 0.500 0.500 0.500
Ce 0.421 0.307 0.708
F 0.151 0.547 0.801
F 0.849 0.453 0.199
Cu 0.752 0.750 0.750
F 0.683 0.335 0.022
Ce 0.579 0.693 0.292
F 0.110 0.491 0.300
F 0.890 0.509 0.700
F 0.599 0.991 0.800
F 0.999 0.953 0.699
F 0.194 0.202 0.794
Cu 0.248 0.250 0.250
F 0.459 0.835 0.522
CELL_PARAMETERS angstrom
-2.131 4.579 -6.961
-7.962 2.650 -1.132
0.928 8.626 0.078
```

Computed properties:
formation energy (no corrections): -41.597 eV per formula unit

---

Crystalline LaScCo4 at its relaxed geometry. Source: Alexandria, functional PBE. Values from VASP.

```
&SYSTEM
  ibrav = 0, nat = 6, ntyp = 3
/
ATOMIC_SPECIES
Co 58.93 Co.upf
Sc 44.96 Sc.upf
La 138.91 La.upf
ATOMIC_POSITIONS crystal
Co 0.374 0.878 0.374
Co 0.374 0.374 0.878
Co 0.374 0.374 0.374
Co 0.878 0.374 0.374
Sc 0.000 0.000 0.000
La 0.750 0.750 0.750
CELL_PARAMETERS angstrom
5.042 0.000 0.000
2.521 4.366 0.000
2.521 1.455 4.116
```

Computed properties:
N(E_F): 1.58 states/eV per atom
ΔH_f (0 K): -0.13 eV per atom

---

Number 1: total energy -8.8337 eV per atom. Number 2: total energy -1.7742 eV per atom. Number 3: total energy -3.2801 eV per atom. Number 4: total energy -5.7339 eV per atom. Number 5: total energy -5.5818 eV per atom. Number 6: total energy -6.7443 eV per atom.